No. 1
Th2Mn17C2: relaxed, PBEsol.

abc: 6.350 6.350 6.349
angles: 96.32 96.32 84.50
Atoms (fractional coordinates):
Th  0.143  0.143  0.336
Th  0.857  0.857  0.664
Mn  0.000  0.500  0.000
Mn  0.156  0.156  0.866
Mn  0.160  0.635  0.339
Mn  0.224  0.495  0.723
Mn  0.235  0.765  0.000
Mn  0.365  0.840  0.661
Mn  0.405  0.405  0.094
Mn  0.495  0.224  0.723
Mn  0.500  0.000  0.000
Mn  0.500  0.500  0.500
Mn  0.505  0.776  0.277
Mn  0.595  0.595  0.906
Mn  0.635  0.160  0.339
Mn  0.765  0.235  0.000
Mn  0.776  0.505  0.277
Mn  0.840  0.365  0.661
Mn  0.844  0.844  0.134
C  0.000  0.500  0.500
C  0.500  0.000  0.500

Summary:
As for the space group: C2/m, No. 12. The value obtained for the spin magnetization is 0.0825 μB/atom. For the energy of formation from the pure elements, the calculation gives -0.047 eV/atom. As for the volume: 12.000 Å³/atom.

***

No. 2
MnTl3C: relaxed, PBEsol.

abc: 4.832 4.832 4.832
angles: 90.00 90.00 90.00
Atoms (fractional coordinates):
Mn  0.000  0.000  0.000
Tl  0.000  0.500  0.500
Tl  0.500  0.000  0.500
Tl  0.500  0.500  0.000
C  0.500  0.500  0.500

Summary:
As for the space group: Pm-3m, No. 221. The value obtained for the spin magnetization is 0.8636 μB/atom. For the energy of formation from the pure elements, the calculation gives 1.339 eV/atom. As for the volume: 22.568 Å³/atom.

***

No. 3
Tm2MnC4: relaxed, PBEsol.

abc: 6.429 6.429 6.429
angles: 108.98 88.08 135.10
Atoms (fractional coordinates):
Tm  0.145  0.155  0.300
Tm  0.355  0.655  0.009
Tm  0.645  0.345  0.991
Tm  0.855  0.845  0.700
Mn  0.250  0.750  0.500
Mn  0.750  0.250  0.500
C  0.080  0.672  0.751
C  0.130  0.845  0.975
C  0.370  0.345  0.715
C  0.420  0.172  0.592
C  0.580  0.828  0.408
C  0.630  0.655  0.285
C  0.870  0.155  0.025
C  0.920  0.328  0.249

Summary:
As for the space group: Ibam, No. 72. The value obtained for the spin magnetization is 0.0826 μB/atom. For the energy of formation from the pure elements, the calculation gives -0.335 eV/atom. As for the volume: 12.104 Å³/atom.

***

No. 4
Tm10Mn13C18: relaxed, PBEsol.

abc: 8.538 8.538 8.538
angles: 109.47 109.47 109.47
Atoms (fractional coordinates):
Tm  0.000  0.000  0.411
Tm  0.000  0.411  0.000
Tm  0.250  0.500  0.750
Tm  0.250  0.750  0.500
Tm  0.411  0.000  0.000
Tm  0.500  0.250  0.750
Tm  0.500  0.750  0.250
Tm  0.589  0.589  0.589
Tm  0.750  0.250  0.500
Tm  0.750  0.500  0.250
Mn  0.000  0.000  0.000
Mn  0.000  0.667  0.820
Mn  0.000  0.820  0.667
Mn  0.154  0.333  0.333
Mn  0.180  0.180  0.846
Mn  0.180  0.846  0.180
Mn  0.333  0.154  0.333
Mn  0.333  0.333  0.154
Mn  0.667  0.000  0.820
Mn  0.667  0.820  0.000
Mn  0.820  0.000  0.667
Mn  0.820  0.667  0.000
Mn  0.846  0.180  0.180
C  0.000  0.222  0.704
C  0.000  0.430  0.430
C  0.000  0.570  0.570
C  0.000  0.704  0.222
C  0.222  0.000  0.704
C  0.222  0.704  0.000
C  0.296  0.296  0.519
C  0.296  0.519  0.296
C  0.430  0.000  0.430
C  0.430  0.430  0.000
C  0.481  0.778  0.778
C  0.519  0.296  0.296
C  0.570  0.000  0.570
C  0.570  0.570  0.000
C  0.704  0.000  0.222
C  0.704  0.222  0.000
C  0.778  0.481  0.778
C  0.778  0.778  0.481

Summary:
As for the space group: I-43m, No. 217. The value obtained for the spin magnetization is 0.1189 μB/atom. For the energy of formation from the pure elements, the calculation gives -0.398 eV/atom. As for the volume: 11.684 Å³/atom.

***

No. 5
MnWC3: relaxed, PBEsol.

abc: 3.650 3.650 3.650
angles: 90.00 90.00 90.00
Atoms (fractional coordinates):
Mn  0.000  0.000  0.000
W  0.500  0.500  0.500
C  0.000  0.000  0.500
C  0.000  0.500  0.000
C  0.500  0.000  0.000

Summary:
As for the space group: Pm-3m, No. 221. The value obtained for the spin magnetization is 0.4399 μB/atom. For the energy of formation from the pure elements, the calculation gives 2.010 eV/atom. As for the volume: 9.728 Å³/atom.

***

No. 6
Mn3ZnC: relaxed, PBEsol.

abc: 3.808 3.808 3.808
angles: 90.00 90.00 90.00
Atoms (fractional coordinates):
Mn  0.000  0.000  0.500
Mn  0.000  0.500  0.000
Mn  0.500  0.000  0.000
Zn  0.500  0.500  0.500
C  0.000  0.000  0.000

Summary:
As for the space group: Pm-3m, No. 221. The value obtained for the spin magnetization is 1.2873 μB/atom. For the energy of formation from the pure elements, the calculation gives 0.006 eV/atom. As for the volume: 11.043 Å³/atom.

***

No. 7
ZrMnZn2C: relaxed, PBEsol.

abc: 4.444 4.444 4.507
angles: 90.00 90.00 90.00
Atoms (fractional coordinates):
Zr  0.000  0.000  0.000
Mn  0.000  0.000  0.500
Zn  0.000  0.500  0.500
Zn  0.500  0.000  0.500
C  0.500  0.500  0.000

Summary:
As for the space group: P4/mmm, No. 123. The value obtained for the spin magnetization is 0.3903 μB/atom. For the energy of formation from the pure elements, the calculation gives 1.615 eV/atom. As for the volume: 17.806 Å³/atom.

***

No. 8
Mo3C: relaxed, PBEsol.

abc: 2.974 4.084 4.407
angles: 90.00 90.00 90.00
Atoms (fractional coordinates):
Mo  0.000  0.000  0.000
Mo  0.000  0.500  0.350
Mo  0.500  0.500  0.809
C  0.500  0.000  0.362

Summary:
As for the space group: Pmm2, No. 25. The value obtained for the spin magnetization is 0.0000 μB/atom. For the energy of formation from the pure elements, the calculation gives 0.851 eV/atom. As for the volume: 13.381 Å³/atom. The value obtained for the energy above the most stable polymorph in this dataset is 0.463 eV/atom.

***

- What is the formula in the first record?
  Th2Mn17C2

***

- Which of these has the highest energy of formation from the pure elements?
  MnWC3

***

- What is the energy of formation from the pure elements in the fourth record?
  -0.398 eV/atom